DFT (GGA-PBE) results for a relaxed structure of Pr2Re2NiN6.

```
Pr2Re2NiN6
1.0
-4.228 -2.393 3.402
1.484 -3.498 4.555
-0.744 2.195 5.791
N Ni Pr Re
6 1 2 2
Direct
0.762 0.762 0.246
0.229 0.762 0.246
0.238 0.238 0.754
0.762 0.229 0.246
0.771 0.238 0.754
0.238 0.771 0.754
0.000 0.000 0.000
0.795 0.795 0.616
0.205 0.205 0.384
0.586 0.586 0.243
0.414 0.414 0.757
```

Spin magnetization   0.0 μB per formula unit
Raw formation energy   -0.19 eV/atom


DFT (GGA-PBE) results for a relaxed structure of PrTa2NiN4.

```
PrTa2NiN4
1.0
-3.229 0.294 -0.094
1.157 -5.412 -0.708
-0.450 -1.502 10.742
Ta N Pr Ni
4 8 2 2
Direct
0.630 0.261 0.058
0.370 0.739 0.558
0.630 0.261 0.442
0.370 0.739 0.942
0.000 0.000 0.000
0.730 0.460 0.606
0.270 0.540 0.106
0.557 0.114 0.250
0.443 0.886 0.750
0.000 0.000 0.500
0.730 0.460 0.894
0.270 0.540 0.394
0.108 0.215 0.750
0.892 0.785 0.250
0.162 0.324 0.250
0.838 0.676 0.750
```

Spin magnetization   0.0 μB per formula unit
Raw formation energy   -0.96 eV/atom


DFT (GGA-PBE) results for a relaxed structure of Pr2Tc2NiN6.

```
Pr2Tc2NiN6
1.0
-3.860 4.431 -0.450
-2.105 1.550 -5.282
-5.903 -1.357 -1.334
Tc N Ni Pr
2 6 1 2
Direct
0.584 0.584 0.248
0.416 0.416 0.752
0.229 0.762 0.247
0.238 0.238 0.753
0.762 0.229 0.247
0.762 0.762 0.247
0.238 0.771 0.753
0.771 0.238 0.753
0.000 0.000 0.000
0.794 0.794 0.619
0.206 0.206 0.381
```

Spin magnetization   0.0 μB per formula unit
Raw formation energy   -0.16 eV/atom


DFT (GGA-PBE) results for a relaxed structure of PrTh2NiN4.

```
PrTh2NiN4
1.0
-0.713 -1.066 -3.348
6.035 1.341 0.207
2.395 -11.253 3.073
Th N Pr Ni
4 8 2 2
Direct
0.632 0.263 0.440
0.368 0.737 0.560
0.368 0.737 0.940
0.632 0.263 0.060
0.552 0.103 0.250
0.732 0.465 0.880
0.268 0.535 0.120
0.268 0.535 0.380
0.448 0.897 0.750
0.732 0.465 0.620
0.000 0.000 0.500
0.000 0.000 0.000
0.895 0.790 0.250
0.105 0.210 0.750
0.841 0.682 0.750
0.159 0.318 0.250
```

Spin magnetization   1.0 μB per formula unit
Raw formation energy   -1.17 eV/atom


DFT (GGA-PBE) results for a relaxed structure of NiPt3N.

```
NiPt3N
1.0
-0.949 -2.963 -3.281
-0.298 -3.305 3.071
-4.411 0.861 0.498
N Pt Ni
1 3 1
Direct
0.500 0.500 0.500
0.000 0.000 0.500
0.500 0.000 0.000
0.000 0.500 0.000
0.000 0.000 0.000
```

Spin magnetization   0.0 μB per formula unit
Raw formation energy   2.27 eV/atom


DFT (GGA-PBE) results for a relaxed structure of NiPt2N.

```
NiPt2N
1.0
6.306 0.000 0.000
0.000 6.306 0.000
3.153 3.153 2.676
Pt N Ni
4 2 2
Direct
0.375 0.454 0.750
0.204 0.625 0.250
0.875 0.796 0.750
0.546 0.125 0.250
0.250 0.750 0.500
0.500 0.500 0.000
0.750 0.250 0.500
0.000 0.000 0.000
```

Spin magnetization   0.0 μB per formula unit
Raw formation energy   0.71 eV/atom


DFT (GGA-PBE) results for a relaxed structure of NiPt3N.

```
NiPt3N
1.0
4.133 0.000 0.000
0.000 4.133 0.000
0.000 0.000 4.133
Pt Ni N
3 1 1
Direct
0.000 0.500 0.000
0.500 0.000 0.000
0.000 0.000 0.500
0.500 0.500 0.500
0.000 0.000 0.000
```

Spin magnetization   0.8 μB per formula unit
Raw formation energy   0.63 eV/atom


DFT (GGA-PBE) results for a relaxed structure of NiRu2PtN.

```
NiRu2PtN
1.0
-1.073 -3.682 1.136
1.619 -1.501 -3.336
3.409 -0.424 1.846
Ru Ni N Pt
2 1 1 1
Direct
0.000 0.500 0.000
0.500 0.000 0.000
0.000 0.000 0.500
0.000 0.000 0.000
0.500 0.500 0.500
```

Spin magnetization   0.0 μB per formula unit
Raw formation energy   0.20 eV/atom


DFT (GGA-PBE) results for a relaxed structure of NiPtS2N.

```
NiPtS2N
1.0
-3.619 -3.334 0.204
2.343 -2.748 -3.349
1.757 -1.744 2.661
Pt Ni S N
1 1 2 1
Direct
0.000 0.000 0.000
0.500 0.500 0.500
0.500 0.000 0.000
0.000 0.500 0.000
0.000 0.000 0.500
```

Spin magnetization   1.7 μB per formula unit
Raw formation energy   1.02 eV/atom


DFT (GGA-PBE) results for a relaxed structure of NiPtSN2.

```
NiPtSN2
1.0
3.444 0.000 0.000
0.000 3.444 0.000
0.000 0.000 7.586
N Pt Ni S
2 1 1 1
Direct
0.500 0.000 0.000
0.000 0.500 0.000
0.500 0.500 0.500
0.000 0.000 0.000
0.000 0.000 0.500
```

Spin magnetization   0.3 μB per formula unit
Raw formation energy   1.23 eV/atom


DFT (GGA-PBE) results for a relaxed structure of NiPtS2N.

```
NiPtS2N
1.0
-1.154 -0.440 -4.493
-0.486 -4.598 0.576
-3.220 0.438 0.784
S Ni N Pt
2 1 1 1
Direct
0.500 0.000 0.000
0.000 0.500 0.000
0.000 0.000 0.000
0.000 0.000 0.500
0.500 0.500 0.500
```

Spin magnetization   0.5 μB per formula unit
Raw formation energy   0.83 eV/atom


DFT (GGA-PBE) results for a relaxed structure of NiPtSN2.

```
NiPtSN2
1.0
3.649 0.000 0.000
0.000 3.649 0.000
0.000 0.000 7.805
Pt N Ni S
1 2 1 1
Direct
0.000 0.000 0.000
0.000 0.500 0.000
0.500 0.000 0.000
0.500 0.500 0.500
0.000 0.000 0.500
```

Spin magnetization   1.4 μB per formula unit
Raw formation energy   1.31 eV/atom